[1]
Material: TiV4Mo3
Method: DFT, PBE
State: optimized geometry

a = 4.351 Å, b = 4.351 Å, c = 6.193 Å
α = 90.00°, β = 90.00°, γ = 90.00°
Atoms (fractional coordinates):
1 Ti 0.000 0.000 0.000
2 V 0.000 0.500 0.256
3 V 0.000 0.500 0.744
4 V 0.500 0.000 0.256
5 V 0.500 0.000 0.744
6 Mo 0.000 0.000 0.500
7 Mo 0.500 0.500 0.000
8 Mo 0.500 0.500 0.500

Values from the calculation:
- Calculated total energy: -9.69 eV per atom
- Magnetic moment: 0.00 μB per atom
- Formation enthalpy at 0 K: -0.082 eV/atom
- N(E_F): 1.34 states/eV per atom

[2]
Material: CsReP2
Method: DFT, PBE
State: optimized geometry

a = 7.263 Å, b = 7.263 Å, c = 7.263 Å
α = 120.98°, β = 120.98°, γ = 88.30°
Atoms (fractional coordinates):
1 Cs 0.375 0.625 0.750
2 Cs 0.625 0.375 0.250
3 Re 0.125 0.875 0.250
4 Re 0.875 0.125 0.750
5 P 0.000 0.000 0.000
6 P 0.000 0.000 0.500
7 P 0.000 0.500 0.000
8 P 0.500 0.000 0.500

Values from the calculation:
- Energy relative to the lowest polymorph listed for this composition: 0.0 meV/atom
- Calculated total energy: -6.30 eV per atom
- Magnetic moment: 0.00 μB per atom
- Formation enthalpy at 0 K: -0.266 eV/atom
- N(E_F): 0.62 states/eV per atom

[3]
Material: Zr2AgW
Method: DFT, PBE
State: optimized geometry

a = 4.793 Å, b = 4.793 Å, c = 4.793 Å
α = 60.00°, β = 60.00°, γ = 60.00°
Atoms (fractional coordinates):
1 Zr 0.250 0.250 0.250
2 Zr 0.750 0.750 0.750
3 Ag 0.000 0.000 0.000
4 W 0.500 0.500 0.500

Values from the calculation:
- Energy relative to the lowest polymorph listed for this composition: 79.5 meV/atom
- Calculated total energy: -8.14 eV per atom
- Magnetic moment: 0.00 μB per atom
- Formation enthalpy at 0 K: 0.082 eV/atom
- N(E_F): 0.99 states/eV per atom